# La2Sn4Pd (GGA-PBE, optimized geometry)
data_La2Sn4Pd
_chemical_formula_sum 'La4 Sn8 Pd2'
_symmetry_space_group_name_H-M 'I 4/m m m'
_symmetry_Int_Tables_number 139
_symmetry_space_group_name_Hall '-I 4 2'
_cell_length_a 5.089
_cell_length_b 5.089
_cell_length_c 16.416
_cell_angle_alpha 90.00
_cell_angle_beta 90.00
_cell_angle_gamma 90.00
loop_
_atom_site_label
_atom_site_fract_x
_atom_site_fract_y
_atom_site_fract_z
_atom_site_occupancy
La1 0.000 0.000 0.141 1
Sn1 0.000 0.000 0.335 1
Sn2 0.000 0.500 0.000 1
Pd1 0.000 0.000 0.500 1
# Formation enthalpy at 0 K   -412.4 meV/atom
# Crystal system   tetragonal
# Electronic total energy   -4.849 eV per atom
# M_tot   0.000 μB per atom
# DOS(E_F)   3.07 states/eV/f.u.

# La2SnPd5 (GGA-PBE, optimized geometry)
data_La2SnPd5
_chemical_formula_sum 'La8 Sn4 Pd20'
_symmetry_space_group_name_H-M 'P n m a'
_symmetry_Int_Tables_number 62
_cell_length_a 7.421
_cell_length_b 6.685
_cell_length_c 14.257
_cell_angle_alpha 90.00
_cell_angle_beta 90.00
_cell_angle_gamma 90.00
loop_
_symmetry_equiv_pos_as_xyz
'x,y,z'
'-x,-y,-z'
'-x+1/2,-y,z+1/2'
'x+1/2,y,-z+1/2'
'x+1/2,-y+1/2,-z+1/2'
'-x+1/2,y+1/2,z+1/2'
'-x,y+1/2,-z'
'x,-y+1/2,z'
loop_
_atom_site_label
_atom_site_fract_x
_atom_site_fract_y
_atom_site_fract_z
_atom_site_occupancy
La1 0.020 0.250 0.190 1
La2 0.167 0.750 0.422 1
Sn1 0.154 0.750 0.120 1
Pd1 0.000 0.000 0.000 1
Pd2 0.106 0.250 0.759 1
Pd3 0.115 0.554 0.620 1
Pd4 0.195 0.250 0.438 1
# Formation enthalpy at 0 K   -749.2 meV/atom
# Crystal system   orthorhombic
# Electronic total energy   -5.727 eV per atom
# E above lowest polymorph   15 meV/atom
# M_tot   0.000 μB per atom
# DOS(E_F)   2.24 states/eV/f.u.

# LaSn2Pd8 (GGA-PBE, optimized geometry)
data_LaSn2Pd8
_chemical_formula_sum 'La2 Sn4 Pd16'
_symmetry_space_group_name_H-M 'C 1 2/m 1'
_symmetry_Int_Tables_number 12
_cell_length_a 7.602
_cell_length_b 12.475
_cell_length_c 4.965
_cell_angle_alpha 90.00
_cell_angle_beta 119.88
_cell_angle_gamma 90.00
loop_
_symmetry_equiv_pos_as_xyz
'x,y,z'
'-x,-y,-z'
'-x,y,-z'
'x,-y,z'
'x+1/2,y+1/2,z'
'-x+1/2,-y+1/2,-z'
'-x+1/2,y+1/2,-z'
'x+1/2,-y+1/2,z'
loop_
_atom_site_label
_atom_site_fract_x
_atom_site_fract_y
_atom_site_fract_z
_atom_site_occupancy
La1 0.000 0.000 0.000 1
Sn1 0.000 0.311 0.500 1
Pd1 0.000 0.225 0.000 1
Pd2 0.075 0.500 0.810 1
Pd3 0.209 0.120 0.639 1
# Formation enthalpy at 0 K   -482.9 meV/atom
# Crystal system   monoclinic
# Electronic total energy   -5.435 eV per atom
# M_tot   0.000 μB per atom
# DOS(E_F)   4.55 states/eV/f.u.

- Which formula does entry 3 have?
  LaSn2Pd8

Copy entry 3 word for word.
# LaSn2Pd8 (GGA-PBE, optimized geometry)
data_LaSn2Pd8
_chemical_formula_sum 'La2 Sn4 Pd16'
_symmetry_space_group_name_H-M 'C 1 2/m 1'
_symmetry_Int_Tables_number 12
_cell_length_a 7.602
_cell_length_b 12.475
_cell_length_c 4.965
_cell_angle_alpha 90.00
_cell_angle_beta 119.88
_cell_angle_gamma 90.00
loop_
_symmetry_equiv_pos_as_xyz
'x,y,z'
'-x,-y,-z'
'-x,y,-z'
'x,-y,z'
'x+1/2,y+1/2,z'
'-x+1/2,-y+1/2,-z'
'-x+1/2,y+1/2,-z'
'x+1/2,-y+1/2,z'
loop_
_atom_site_label
_atom_site_fract_x
_atom_site_fract_y
_atom_site_fract_z
_atom_site_occupancy
La1 0.000 0.000 0.000 1
Sn1 0.000 0.311 0.500 1
Pd1 0.000 0.225 0.000 1
Pd2 0.075 0.500 0.810 1
Pd3 0.209 0.120 0.639 1
# Formation enthalpy at 0 K   -482.9 meV/atom
# Crystal system   monoclinic
# Electronic total energy   -5.435 eV per atom
# M_tot   0.000 μB per atom
# DOS(E_F)   4.55 states/eV/f.u.